A plane-wave DFT calculation with GGA-PBE was carried out for Tm2AgSn after structural relaxation.

extended XYZ file:
```
4
Lattice="4.9549 0.0000 0.0000 0.0000 4.9549 0.0000 0.0000 0.0000 3.9898" Properties=species:S:1:pos:R:3 pbc="T T T"
Tm 0.0000 2.4774 0.0000
Tm 2.4774 0.0000 0.0000
Ag 0.0000 0.0000 1.9949
Sn 2.4774 2.4774 1.9949
```

## Properties
The value obtained for the magnetization is 0.3 μB per formula unit. The formation energy is -0.48 eV/atom. The electronic total energy comes out at -4.428 eV/atom. The calculation puts the density of states at the Fermi level at 3.3 states/eV per cell.

---

A plane-wave DFT calculation with GGA-PBE was carried out for Bi2PbSe after structural relaxation.

extended XYZ file:
```
8
Lattice="-3.2849 3.2849 7.7709 3.2849 -3.2849 7.7709 3.2849 3.2849 -7.7709" Properties=species:S:1:pos:R:3 pbc="T T T"
Bi 4.9273 1.3861 -1.9427
Bi 1.3861 1.6424 1.9427
Bi -1.6424 1.8988 5.8282
Bi 1.8988 1.6424 9.7137
Pb 3.2849 0.0000 3.8855
Pb 0.0000 0.0000 7.7709
Se 0.0000 0.0000 0.0000
Se 0.0000 3.2849 3.8855
```

## Properties
The value obtained for the magnetization is 0.0 μB per formula unit. The electronic total energy comes out at -3.619 eV/atom. As for the excess energy over the best structure of this formula in the dataset: 0.022 eV/atom. The calculation puts the density of states at the Fermi level at 3.7 states/eV per cell. As for the uncorrected formation energy: 120 meV per atom.